Version a
VASP calculation (GGA-PBE) on crystalline Tl2SbF at its relaxed geometry.

Geometry as CIF:
```
data_Tl2SbF
_symmetry_space_group_name_H-M 'F m -3 m'
_symmetry_Int_Tables_number 225
_symmetry_space_group_name_Hall '-F 4 2 3'
_cell_length_a 7.3178
_cell_length_b 7.3178
_cell_length_c 7.3178
_cell_angle_alpha 90.00
_cell_angle_beta 90.00
_cell_angle_gamma 90.00
loop_
_atom_site_label
_atom_site_type_symbol
_atom_site_fract_x
_atom_site_fract_y
_atom_site_fract_z
Tl1 Tl 0.2500 0.2500 0.2500
Sb1 Sb 0.0000 0.0000 0.0000
F1 F 0.0000 0.0000 0.5000
```



Version b
VASP calculation (GGA-PBE) on crystalline Tl2SbF at its relaxed geometry.

Geometry as CIF:
```
data_Tl2SbF
_symmetry_space_group_name_H-M 'I -4 2 d'
_symmetry_Int_Tables_number 122
_symmetry_space_group_name_Hall 'I -4 2bw'
_cell_length_a 5.8841
_cell_length_b 5.8841
_cell_length_c 14.9150
_cell_angle_alpha 90.00
_cell_angle_beta 90.00
_cell_angle_gamma 90.00
loop_
_atom_site_label
_atom_site_type_symbol
_atom_site_fract_x
_atom_site_fract_y
_atom_site_fract_z
Tl1 Tl 0.1781 0.2500 0.1250
Sb1 Sb 0.0000 0.0000 0.5000
F1 F 0.0000 0.0000 0.0000
```



Of them, the most stable is version a and the least stable is version b.